1.
Material: CeCdAu
Method: DFT, PBE
State: relaxed

Results
DOS(E_F) = 1.8757 states/eV per atom
offset from the most stable computed form = 50 meV per atom
energy relative to the elements = -491 meV/atom
total DFT energy (no corrections) = -3.867 eV per atom

Lattice parameters (Å, degrees): 4.9330 4.9330 3.3471 90.00 90.00 120.00
Space group P-6m2 (No. 187)
Asymmetric unit:
Ce: 0.0000 0.0000 0.0000 x1
Cd: 0.3333 0.6667 0.5000 x1
Au: 0.6667 0.3333 0.5000 x1


2.
Material: BeAl2O4
Method: DFT, PBE
State: relaxed

Results
DOS(E_F) = 0.0000 states/eV per atom
formation energy (no corrections) = -2.795 eV per atom
total DFT energy (no corrections) = -7.230 eV per atom

Lattice parameters (Å, degrees): 4.297 4.297 3.770 90.00 90.00 90.00
Space group P-42m (No. 111)
Asymmetric unit:
Be: 0.000 0.000 0.000 x1
Al: 0.000 0.500 0.500 x2
O: 0.228 0.228 0.249 x4


3.
Material: Nd3TeSe3
Method: DFT, PBE
State: relaxed

Results
DOS(E_F) = 0.3863 states/eV per atom
formation energy (no corrections) = -1.720 eV per atom
total DFT energy (no corrections) = -5.706 eV per atom

Lattice parameters (Å, degrees): 9.0674 9.0674 17.9347 90.00 90.00 120.00
Space group R-3 (No. 148, hexagonal axes)
Asymmetric unit:
Nd: 0.0045 0.6382 0.4195 x18
Te: 0.0000 0.0000 0.1664 x6
Se: 0.0063 0.7161 0.5897 x18


4.
Material: Mg2HSe
Method: DFT, PBE
State: relaxed

Results
DOS(E_F) = 0.1836 states/eV per atom
offset from the most stable computed form = 0 meV per atom
total DFT energy (no corrections) = -2.897 eV per atom

Lattice parameters (Å, degrees): 5.025 5.025 12.701 90.00 90.00 90.00
Space group I-42d (No. 122)
Asymmetric unit:
Mg: 0.174 0.250 0.125 x8
H: 0.000 0.000 0.000 x4
Se: 0.000 0.000 0.500 x4


5.
Material: Nb
Method: DFT, PBE
State: relaxed

Results
DOS(E_F) = 1.2143 states/eV per atom
offset from the most stable computed form = 580 meV per atom
energy relative to the elements = 580 meV/atom
total DFT energy (no corrections) = -9.490 eV per atom

Lattice parameters (Å, degrees): 7.3968 7.3968 5.1039 90.00 90.00 120.00
Space group P6_3/m (No. 176)
Asymmetric unit:
Nb: 0.0703 0.8194 0.2500 x6
Nb: 0.0936 0.5975 0.7500 x6


6.
Material: ZnWBr2
Method: DFT, PBE
State: relaxed

Results
DOS(E_F) = 1.0634 states/eV per atom
offset from the most stable computed form = 261 meV per atom
formation energy (no corrections) = 0.409 eV per atom
total DFT energy (no corrections) = -3.984 eV per atom

Lattice parameters (Å, degrees): 3.2306 3.2306 30.5445 90.00 90.00 120.00
Space group R-3m (No. 166, hexagonal axes)
Asymmetric unit:
Zn: 0.0000 0.0000 0.0000 x3
W: 0.0000 0.0000 0.5000 x3
Br: 0.0000 0.0000 0.2279 x6


7.
Material: MgZr2PdBr
Method: DFT, PBE
State: relaxed

Results
DOS(E_F) = 1.2793 states/eV per atom
formation energy (no corrections) = 0.195 eV per atom
total DFT energy (no corrections) = -4.916 eV per atom

Lattice parameters (Å, degrees): 5.137 5.137 5.011 90.00 90.00 90.00
Space group P4/mmm (No. 123)
Asymmetric unit:
Mg: 0.000 0.000 0.000 x1
Zr: 0.000 0.500 0.500 x2
Pd: 0.000 0.000 0.500 x1
Br: 0.500 0.500 0.000 x1


8.
Material: Na3Te2Pt
Method: DFT, PBE
State: relaxed

Results
DOS(E_F) = 0.9916 states/eV per atom
formation energy (no corrections) = -0.555 eV per atom
total DFT energy (no corrections) = -3.268 eV per atom

Lattice parameters (Å, degrees): 6.441 15.386 6.277 90.00 90.00 90.00
Space group Ibam (No. 72)
Asymmetric unit:
Na: 0.000 0.000 0.250 x4
Na: 0.248 0.329 0.000 x8
Te: 0.222 0.380 0.500 x8
Pt: 0.000 0.500 0.250 x4


9.
Material: P2AuS2
Method: DFT, PBE
State: relaxed

Results
DOS(E_F) = 0.1828 states/eV per atom
offset from the most stable computed form = 28 meV per atom
formation energy (no corrections) = 0.007 eV per atom
total DFT energy (no corrections) = -4.463 eV per atom

Lattice parameters (Å, degrees): 4.465 5.853 5.856 117.61 95.75 95.77
Space group P-1 (No. 2)
Asymmetric unit:
P: 0.180 0.390 0.005 x2
Au: 0.000 0.000 0.000 x1
S: 0.377 0.370 0.693 x2


10.
Material: La8Y3Sc2
Method: DFT, PBE
State: relaxed

Results
DOS(E_F) = 1.6452 states/eV per atom
energy relative to the elements = 154 meV/atom
total DFT energy (no corrections) = -5.344 eV per atom

Lattice parameters (Å, degrees): 13.230 11.831 6.106 90.00 111.88 90.00
Space group C2/m (No. 12)
Asymmetric unit:
La: 0.056 0.000 0.291 x4
La: 0.148 0.500 0.587 x4
La: 0.168 0.254 0.154 x8
Y: 0.000 0.245 0.500 x4
Y: 0.000 0.500 0.000 x2
Sc: 0.201 0.000 0.845 x4


11.
Material: Hf3NpP4
Method: DFT, PBE
State: relaxed

Results
DOS(E_F) = 1.1204 states/eV per atom
energy relative to the elements = -1194 meV/atom
total DFT energy (no corrections) = -9.249 eV per atom

Lattice parameters (Å, degrees): 6.480 7.501 6.531 90.00 109.46 90.00
Space group P2/c (No. 13)
Asymmetric unit:
Hf: 0.000 0.122 0.250 x2
Hf: 0.000 0.371 0.750 x2
Hf: 0.500 0.125 0.750 x2
Np: 0.500 0.373 0.250 x2
P: 0.242 0.371 0.499 x4
P: 0.246 0.120 0.998 x4


12.
Material: CaScGa3
Method: DFT, PBE
State: relaxed

Results
DOS(E_F) = 0.9462 states/eV per atom
offset from the most stable computed form = 580 meV per atom
energy relative to the elements = 73 meV/atom
total DFT energy (no corrections) = -3.410 eV per atom

Lattice parameters (Å, degrees): 5.164 5.164 5.164 90.00 90.00 90.00
Space group Pm-3m (No. 221)
Asymmetric unit:
Ca: 0.000 0.000 0.000 x1
Sc: 0.500 0.500 0.500 x1
Ga: 0.000 0.500 0.500 x3


13.
Material: PrSmTlIn
Method: DFT, PBE
State: relaxed

Results
DOS(E_F) = 0.7396 states/eV per atom
offset from the most stable computed form = 0 meV per atom
energy relative to the elements = -443 meV/atom
total DFT energy (no corrections) = -4.094 eV per atom

Lattice parameters (Å, degrees): 3.884 3.884 7.772 90.00 90.00 90.00
Space group P4mm (No. 99)
Asymmetric unit:
Pr: 0.000 0.000 0.000 x1
Sm: 0.000 0.000 0.495 x1
Tl: 0.500 0.500 0.740 x1
In: 0.500 0.500 0.255 x1